{
  "formula": "KPu2CoO8",
  "functional": "PBE with a Hubbard U",
  "state": "optimized geometry",
  "lattice_angstrom": [[5.008, 0.000, 0.000], [0.404, 5.016, 0.000], [0.149, 0.147, 6.976]],
  "species": ["K", "Pu", "Pu", "Co", "O", "O", "O", "O", "O", "O", "O", "O"],
  "frac_coords": [[0.000, 0.000, 0.000], [0.493, 0.493, 0.260], [0.507, 0.507, 0.740], [0.000, 0.000, 0.500], [0.218, 0.776, 0.288], [0.220, 0.779, 0.712], [0.315, 0.313, 0.490], [0.340, 0.338, 0.969], [0.660, 0.662, 0.031], [0.685, 0.687, 0.510], [0.780, 0.221, 0.288], [0.782, 0.224, 0.712]],
  "space_group": "P-1, No. 2",
  "total_energy_ev_per_atom": -8.242,
  "total_magnetization_mub_per_cell": 6.0
}